No. 1
A plane-wave DFT calculation with PBE was carried out for a relaxed GdHf3 crystal.

**Energy relative to the elements**: 185.6 meV per atom
**Spin magnetization**: 7.39 μB per formula unit
**Volume**: 24.09 A^3/atom
**Offset from the most stable computed form**: 0.082 eV per atom
**Symmetry**: No. 221
**Uncorrected energy**: -10.800 eV/atom

Cell: 4.585 4.585 4.585 Å, 90.00 90.00 90.00°
Each line ends with the local moment (μB).
Sites, in units of the cell vectors:
Hf  0.500  0.000  0.500  0.02
Hf  0.500  0.500  0.000  0.02
Hf  0.000  0.500  0.500  0.02
Gd  0.000  0.000  0.000  7.12


No. 2
A plane-wave DFT calculation with PBE was carried out for a relaxed ErPaS2 crystal.

**Spin magnetization**: 0.19 μB per formula unit
**Volume**: 20.58 A^3/atom
**Offset from the most stable computed form**: 0.000 eV per atom
**Symmetry**: No. 166
**E_form (uncorrected)**: -1759.3 meV/atom
**Uncorrected energy**: -7.338 eV/atom

Cell: 3.748 3.748 7.105 Å, 74.71 74.71 60.00°
Each line ends with the local moment (μB).
Sites, in units of the cell vectors:
S  0.246  0.246  0.261  0.00
S  0.754  0.754  0.739  0.00
Er  0.500  0.500  0.500  0.00
Pa  0.000  0.000  0.000  0.16


No. 3
A plane-wave DFT calculation with PBE was carried out for a relaxed TmGeRu crystal.

**Energy relative to the elements**: -739.6 meV per atom
**Spin magnetization**: 0.00 μB per formula unit
**Volume**: 18.40 A^3/atom
**Symmetry**: No. 62
**Uncorrected energy**: -6.861 eV/atom

Cell: 4.381 7.240 6.962 Å, 90.00 90.00 90.00°
Sites, in units of the cell vectors:
Ru  0.750  0.938  0.843
Ru  0.250  0.438  0.657
Ru  0.750  0.562  0.343
Ru  0.250  0.062  0.157
Tm  0.250  0.808  0.488
Tm  0.750  0.308  0.012
Tm  0.750  0.192  0.512
Tm  0.250  0.692  0.988
Ge  0.750  0.608  0.705
Ge  0.750  0.892  0.205
Ge  0.250  0.392  0.295
Ge  0.250  0.108  0.795


No. 4
A plane-wave DFT calculation with PBE was carried out for a relaxed TcRh crystal.

**Energy relative to the elements**: 437.9 meV per atom
**Spin magnetization**: 0.00 μB per formula unit
**Volume**: 14.72 A^3/atom
**Offset from the most stable computed form**: 0.612 eV per atom
**Symmetry**: No. 221
**Uncorrected energy**: -8.421 eV/atom

Cell: 3.088 3.088 3.088 Å, 90.00 90.00 90.00°
Sites, in units of the cell vectors:
Tc  0.500  0.500  0.500
Rh  0.000  0.000  0.000


No. 5
A plane-wave DFT calculation with PBE was carried out for a relaxed PrHo2Zr crystal.

**Energy relative to the elements**: 170.1 meV per atom
**Spin magnetization**: 0.00 μB per formula unit
**Volume**: 30.08 A^3/atom
**Offset from the most stable computed form**: 0.086 eV per atom
**Symmetry**: No. 123
**Uncorrected energy**: -5.451 eV/atom

Cell: 4.012 4.012 7.476 Å, 90.00 90.00 90.00°
Sites, in units of the cell vectors:
Pr  0.500  0.500  0.500
Ho  0.000  0.000  0.783
Ho  0.000  0.000  0.217
Zr  0.500  0.500  0.000


No. 6
A plane-wave DFT calculation with PBE was carried out for a relaxed NpTi2Al crystal.

**Energy relative to the elements**: 76.7 meV per atom
**Spin magnetization**: 2.24 μB per formula unit
**Volume**: 17.70 A^3/atom
**Offset from the most stable computed form**: 0.105 eV per atom
**Symmetry**: No. 166
**Uncorrected energy**: -8.042 eV/atom

Cell: 2.867 2.867 10.086 Å, 81.83 81.83 60.00°
Each line ends with the local moment (μB).
Sites, in units of the cell vectors:
Al  0.500  0.500  0.500  0.00
Ti  0.755  0.755  0.735  -0.10
Ti  0.245  0.245  0.265  -0.10
Np  0.000  0.000  0.000  2.44


No. 7
A plane-wave DFT calculation with PBE was carried out for a relaxed MnSnSe3 crystal.

**Spin magnetization**: 0.00 μB per formula unit
**Volume**: 21.37 A^3/atom
**Offset from the most stable computed form**: 0.558 eV per atom
**Symmetry**: No. 221
**E_form (uncorrected)**: 160.1 meV/atom
**Uncorrected energy**: -4.565 eV/atom

Cell: 4.745 4.745 4.745 Å, 90.00 90.00 90.00°
Sites, in units of the cell vectors:
Sn  0.500  0.500  0.500
Se  0.000  0.000  0.500
Se  0.500  0.000  0.000
Se  0.000  0.500  0.000
Mn  0.000  0.000  0.000